(1)
Below is a relaxed structure of TeAsI2N, with properties calculated at the PBE level.

Output
- energy above the lowest structure with this stoichiometry (eV/atom) = 0.268
- space group = P4/mmm

Cell lengths 6.248, 6.248, 3.973 Å; angles 90.00, 90.00, 90.00 degrees
Each line ends with the local moment (μB).
Element x y z (fractional)
Te1 0.000 0.000 0.000  -0.01
As1 0.500 0.500 0.500  0.70
N1 0.000 0.000 0.500  -0.02
I1 0.000 0.500 0.000  0.04
I2 0.500 0.000 0.000  0.04



(2)
Below is a relaxed structure of TeAsI2N, with properties calculated at the PBE level.

Output
- energy above the lowest structure with this stoichiometry (eV/atom) = 0.319
- space group = P4/mmm

Cell lengths 4.834, 4.834, 5.147 Å; angles 90.00, 90.00, 90.00 degrees
Element x y z (fractional)
I1 0.500 0.000 0.000
I2 0.000 0.500 0.000
N1 0.000 0.000 0.000
As1 0.500 0.500 0.500
Te1 0.000 0.000 0.500



(3)
Below is a relaxed structure of TeAsI2N, with properties calculated at the PBE level.

Output
- energy above the lowest structure with this stoichiometry (eV/atom) = 0.457
- space group = P4/mmm

Cell lengths 5.814, 5.814, 5.397 Å; angles 90.00, 90.00, 90.00 degrees
Each line ends with the local moment (μB).
Element x y z (fractional)
I1 0.500 0.000 0.000  0.02
I2 0.000 0.500 0.000  0.02
As1 0.000 0.000 0.000  0.00
N1 0.500 0.500 0.500  1.90
Te1 0.000 0.000 0.500  -0.04



(4)
Below is a relaxed structure of Te2AsIN, with properties calculated at the PBE level.

Output
- energy above the lowest structure with this stoichiometry (eV/atom) = 0.130
- space group = P4/mmm

Cell lengths 4.930, 4.930, 4.730 Å; angles 90.00, 90.00, 90.00 degrees
Element x y z (fractional)
As1 0.500 0.500 0.500
I1 0.000 0.000 0.500
Te1 0.500 0.000 0.000
Te2 0.000 0.500 0.000
N1 0.000 0.000 0.000



(5)
Below is a relaxed structure of TlAsIN2, with properties calculated at the PBE level.

Output
- energy above the lowest structure with this stoichiometry (eV/atom) = 0.000
- space group = P4/mmm

Cell lengths 4.189, 4.189, 6.816 Å; angles 90.00, 90.00, 90.00 degrees
Each line ends with the local moment (μB).
Element x y z (fractional)
Tl1 0.500 0.500 0.500  -0.01
N1 0.000 0.500 0.000  0.66
N2 0.500 0.000 0.000  0.66
I1 0.000 0.000 0.500  -0.03
As1 0.000 0.000 0.000  -0.06



(6)
Below is a relaxed structure of TlAsI2N, with properties calculated at the PBE level.

Output
- energy above the lowest structure with this stoichiometry (eV/atom) = 0.000
- space group = P4/mmm

Cell lengths 6.443, 6.443, 3.696 Å; angles 90.00, 90.00, 90.00 degrees
Element x y z (fractional)
As1 0.000 0.000 0.000
I1 0.000 0.500 0.000
I2 0.500 0.000 0.000
Tl1 0.500 0.500 0.500
N1 0.000 0.000 0.500



(7)
Below is a relaxed structure of TlAsI2N, with properties calculated at the PBE level.

Output
- energy above the lowest structure with this stoichiometry (eV/atom) = 0.935
- space group = P4/mmm

Cell lengths 6.188, 6.188, 4.010 Å; angles 90.00, 90.00, 90.00 degrees
Element x y z (fractional)
I1 0.000 0.500 0.000
I2 0.500 0.000 0.000
N1 0.000 0.000 0.500
Tl1 0.000 0.000 0.000
As1 0.500 0.500 0.500



(8)
Below is a relaxed structure of TlAsIN2, with properties calculated at the PBE level.

Output
- energy above the lowest structure with this stoichiometry (eV/atom) = 0.581
- space group = P4/mmm

Cell lengths 4.322, 4.322, 7.278 Å; angles 90.00, 90.00, 90.00 degrees
Each line ends with the local moment (μB).
Element x y z (fractional)
N1 0.500 0.000 0.000  1.02
N2 0.000 0.500 0.000  1.02
As1 0.500 0.500 0.500  0.38
Tl1 0.000 0.000 0.000  0.01
I1 0.000 0.000 0.500  0.01



(9)
Below is a relaxed structure of VAsI2N, with properties calculated at the PBE level.

Output
- energy above the lowest structure with this stoichiometry (eV/atom) = 0.816
- space group = P4/mmm

Cell lengths 5.885, 5.885, 3.668 Å; angles 90.00, 90.00, 90.00 degrees
Each line ends with the local moment (μB).
Element x y z (fractional)
As1 0.000 0.000 0.000  -0.01
N1 0.000 0.000 0.500  -0.01
I1 0.000 0.500 0.000  0.01
I2 0.500 0.000 0.000  0.01
V1 0.500 0.500 0.500  0.37



(10)
Below is a relaxed structure of VAsI2N, with properties calculated at the PBE level.

Output
- energy above the lowest structure with this stoichiometry (eV/atom) = 0.000
- space group = P4/mmm

Cell lengths 5.580, 5.580, 3.666 Å; angles 90.00, 90.00, 90.00 degrees
Each line ends with the local moment (μB).
Element x y z (fractional)
As1 0.500 0.500 0.500  0.04
V1 0.000 0.000 0.000  1.14
I1 0.500 0.000 0.000  -0.03
I2 0.000 0.500 0.000  -0.03
N1 0.000 0.000 0.500  -0.21



(11)
Below is a relaxed structure of AsWI2N, with properties calculated at the PBE level.

Output
- energy above the lowest structure with this stoichiometry (eV/atom) = 0.000
- space group = P4/mmm

Cell lengths 5.570, 5.570, 3.828 Å; angles 90.00, 90.00, 90.00 degrees
Each line ends with the local moment (μB).
Element x y z (fractional)
W1 0.000 0.000 0.000  0.31
I1 0.500 0.000 0.000  0.00
I2 0.000 0.500 0.000  0.00
As1 0.500 0.500 0.500  0.00
N1 0.000 0.000 0.500  -0.03



(12)
Below is a relaxed structure of AsWI2N, with properties calculated at the PBE level.

Output
- energy above the lowest structure with this stoichiometry (eV/atom) = 0.943
- space group = P4/mmm

Cell lengths 5.873, 5.873, 3.614 Å; angles 90.00, 90.00, 90.00 degrees
Each line ends with the local moment (μB).
Element x y z (fractional)
I1 0.500 0.000 0.000  -0.05
I2 0.000 0.500 0.000  -0.05
N1 0.000 0.000 0.500  0.02
W1 0.500 0.500 0.500  2.78
As1 0.000 0.000 0.000  0.01



(13)
Below is a relaxed structure of ZnAsIN2, with properties calculated at the PBE level.

Output
- energy above the lowest structure with this stoichiometry (eV/atom) = 0.458
- space group = P4/mmm

Cell lengths 4.031, 4.031, 6.708 Å; angles 90.00, 90.00, 90.00 degrees
Each line ends with the local moment (μB).
Element x y z (fractional)
N1 0.500 0.000 0.000  1.15
N2 0.000 0.500 0.000  1.15
Zn1 0.000 0.000 0.000  0.03
I1 0.000 0.000 0.500  0.01
As1 0.500 0.500 0.500  0.16



(14)
Below is a relaxed structure of ZnAsI2N, with properties calculated at the PBE level.

Output
- energy above the lowest structure with this stoichiometry (eV/atom) = 0.000
- space group = P4/mmm

Cell lengths 6.043, 6.043, 3.679 Å; angles 90.00, 90.00, 90.00 degrees
Element x y z (fractional)
I1 0.000 0.500 0.000
I2 0.500 0.000 0.000
Zn1 0.500 0.500 0.500
N1 0.000 0.000 0.500
As1 0.000 0.000 0.000



(15)
Below is a relaxed structure of ZnAsIN2, with properties calculated at the PBE level.

Output
- energy above the lowest structure with this stoichiometry (eV/atom) = 0.000
- space group = P4/mmm

Cell lengths 3.823, 3.823, 7.274 Å; angles 90.00, 90.00, 90.00 degrees
Each line ends with the local moment (μB).
Element x y z (fractional)
N1 0.000 0.500 0.000  0.20
N2 0.500 0.000 0.000  0.20
I1 0.000 0.000 0.500  0.00
Zn1 0.500 0.500 0.500  0.00
As1 0.000 0.000 0.000  -0.03



(16)
Below is a relaxed structure of ZnAsI2N, with properties calculated at the PBE level.

Output
- energy above the lowest structure with this stoichiometry (eV/atom) = 0.264
- space group = P4/mmm

Cell lengths 5.725, 5.725, 3.710 Å; angles 90.00, 90.00, 90.00 degrees
Element x y z (fractional)
I1 0.500 0.000 0.000
I2 0.000 0.500 0.000
Zn1 0.000 0.000 0.000
N1 0.000 0.000 0.500
As1 0.500 0.500 0.500



(17)
Below is a relaxed structure of Zn4AsI2N, with properties calculated at the PBE level.

Output
- space group = Pmn2_1

Cell lengths 6.718, 7.243, 7.949 Å; angles 90.00, 90.00, 90.00 degrees
Element x y z (fractional)
Zn1 0.443 0.707 0.280
Zn2 0.827 0.966 0.000
Zn3 0.778 0.899 0.500
Zn4 0.943 0.293 0.220
Zn5 0.443 0.707 0.720
Zn6 0.943 0.293 0.780
Zn7 0.327 0.034 0.500
Zn8 0.278 0.101 0.000
As1 0.999 0.160 0.500
As2 0.499 0.840 0.000
I1 0.005 0.672 0.248
I2 0.505 0.328 0.748
I3 0.505 0.328 0.252
I4 0.005 0.672 0.752
N1 0.501 0.821 0.500
N2 0.001 0.179 0.000



(18)
Below is a relaxed structure of ZrAsIN2, with properties calculated at the PBE level.

Output
- energy above the lowest structure with this stoichiometry (eV/atom) = 0.645
- space group = P4/mmm

Cell lengths 4.058, 4.058, 5.289 Å; angles 90.00, 90.00, 90.00 degrees
Element x y z (fractional)
As1 0.000 0.000 0.000
N1 0.000 0.500 0.000
N2 0.500 0.000 0.000
Zr1 0.500 0.500 0.500
I1 0.000 0.000 0.500



(19)
Below is a relaxed structure of ZrAsIN2, with properties calculated at the PBE level.

Output
- energy above the lowest structure with this stoichiometry (eV/atom) = 0.000
- space group = P4/mmm

Cell lengths 4.201, 4.201, 6.150 Å; angles 90.00, 90.00, 90.00 degrees
Element x y z (fractional)
I1 0.000 0.000 0.500
N1 0.500 0.000 0.000
N2 0.000 0.500 0.000
Zr1 0.000 0.000 0.000
As1 0.500 0.500 0.500



(20)
Below is a relaxed structure of NaAsI4, with properties calculated at the PBE level.

Output
- space group = C2/c

Cell lengths 7.863, 7.467, 10.118 Å; angles 103.92, 105.46, 109.31 degrees
Element x y z (fractional)
I1 0.964 0.701 0.856
I2 0.036 0.299 0.144
I3 0.392 0.155 0.856
I4 0.716 0.430 0.390
I5 0.174 0.960 0.390
I6 0.826 0.040 0.610
I7 0.284 0.570 0.610
I8 0.608 0.845 0.144
Na1 0.430 0.680 0.359
Na2 0.570 0.320 0.641
As1 0.924 0.174 0.348
As2 0.076 0.826 0.652



(21)
Below is a relaxed structure of Na2As2I7, with properties calculated at the PBE level.

Output
- space group = C2/m

Cell lengths 7.044, 8.961, 8.961 Å; angles 113.71, 94.15, 94.15 degrees
Element x y z (fractional)
I1 0.238 0.429 0.076
I2 0.762 0.924 0.571
I3 0.762 0.571 0.924
I4 0.256 0.597 0.597
I5 0.500 0.000 0.000
I6 0.238 0.076 0.429
I7 0.744 0.403 0.403
Na1 0.000 0.716 0.284
Na2 0.000 0.284 0.716
As1 0.612 0.730 0.730
As2 0.388 0.270 0.270



(22)
Below is a relaxed structure of NaAs2I8, with properties calculated at the PBE level.

Output
- space group = C2/m

Cell lengths 7.162, 9.382, 9.382 Å; angles 78.52, 81.17, 81.17 degrees
Element x y z (fractional)
I1 0.783 0.068 0.711
I2 0.900 0.609 0.609
I3 0.783 0.711 0.068
I4 0.325 0.794 0.794
I5 0.217 0.289 0.932
I6 0.100 0.391 0.391
I7 0.217 0.932 0.289
I8 0.675 0.206 0.206
Na1 0.000 0.000 0.000
As1 0.699 0.792 0.792
As2 0.301 0.208 0.208



(23)
Below is a relaxed structure of NaAsI6, with properties calculated at the PBE level.

Output
- space group = P-1

Cell lengths 9.647, 8.962, 7.556 Å; angles 53.35, 56.77, 48.50 degrees
Element x y z (fractional)
I1 0.062 0.368 0.709
I2 0.938 0.632 0.291
I3 0.193 0.005 0.182
I4 0.807 0.995 0.818
I5 0.365 0.770 0.737
I6 0.635 0.230 0.263
Na1 0.500 0.500 0.500
As1 0.000 0.000 0.000



(24)
Below is a relaxed structure of Na2AsI5, with properties calculated at the PBE level.

Output
- space group = Cm

Cell lengths 6.681, 8.115, 8.116 Å; angles 87.95, 67.89, 67.89 degrees
Element x y z (fractional)
I1 0.385 0.751 0.751
I2 0.715 0.318 0.318
I3 0.653 0.977 0.977
I4 0.038 0.775 0.286
I5 0.038 0.286 0.775
As1 0.996 0.030 0.030
Na1 0.587 0.590 0.050
Na2 0.587 0.050 0.590



(25)
Below is a relaxed structure of NaAsI3, with properties calculated at the PBE level.

Output
- energy above the lowest structure with this stoichiometry (eV/atom) = 0.023
- space group = P2_1/c

Cell lengths 5.535, 8.823, 18.460 Å; angles 90.00, 99.40, 90.00 degrees
Element x y z (fractional)
As1 0.864 0.921 0.533
As2 0.636 0.421 0.967
As3 0.364 0.579 0.033
As4 0.136 0.079 0.467
I1 0.205 0.727 0.585
I2 0.333 0.226 0.586
I3 0.795 0.273 0.415
I4 0.705 0.773 0.085
I5 0.425 0.516 0.260
I6 0.075 0.016 0.240
I7 0.667 0.774 0.414
I8 0.295 0.227 0.915
I9 0.575 0.484 0.740
I10 0.167 0.726 0.914
I11 0.925 0.984 0.760
I12 0.833 0.274 0.086
Na1 0.426 0.823 0.756
Na2 0.574 0.177 0.244
Na3 0.074 0.323 0.744
Na4 0.926 0.677 0.256



no.,total magnetic moment (μB per formula unit),formation energy from raw total energies (kJ/mol of atoms)
1,1.60,101
2,0.00,106
3,2.86,119
4,0.00,94
5,1.72,129
6,0.00,32
7,0.11,122
8,3.80,185
9,0.38,113
10,1.02,35
11,0.36,66
12,3.71,157
13,3.74,160
14,0.00,69
15,0.50,116
16,0.00,94
17,0.00,-23
18,0.00,130
19,0.00,68
20,0.00,-49
21,0.00,-42
22,0.00,-27
23,0.00,-26
24,0.00,-64
25,0.00,-52